## Mg3Hg (GGA-PBE)

Data for crystalline Mg3Hg at its relaxed geometry.

Cell: 4.5138 4.2157 4.5199 Å, 90.00 90.00 90.00°
Fractional positions:
Mg 0.0000 0.0000 0.0835
Mg 0.0000 0.5000 0.5834
Mg 0.5000 0.5000 0.0831
Hg 0.5000 0.0000 0.5833

Properties
E_form (kcal/mol of atoms): -3.071
Total moment (μB/f.u.): 0.000
Symmetry: No. 123